No. 1
{"formula": "GdCuRh", "functional": "PBE", "state": "optimized geometry", "lattice_angstrom": [[-1.727, 1.727, 4.591], [1.727, -1.727, 4.591], [1.727, 1.727, -4.591]], "species": ["Gd", "Cu", "Rh"], "fractional_positions": [[0.000, 0.000, 0.000], [0.310, 0.310, 0.000], [0.679, 0.679, 0.000]], "density_g_cm3": 9.8, "final_energy_ev_per_cell": -26.6, "ef_mev_per_atom": -356, "dos_ef_per_ev_atom": 0.629, "polymorph_energy_kj_per_mol_atoms": 9.1, "total_magnetization_mub_per_cell": 7.2, "vol_a3_per_atom": 18.2}

No. 2
{"formula": "HfAgSnH2", "functional": "PBE", "state": "optimized geometry", "lattice_angstrom": [[3.941, 0.000, 0.000], [0.000, 3.941, 0.000], [0.000, 0.000, 5.778]], "species": ["Hf", "Ag", "Sn", "H", "H"], "fractional_positions": [[0.000, 0.000, 0.000], [0.000, 0.000, 0.500], [0.500, 0.500, 0.000], [0.000, 0.500, 0.500], [0.500, 0.000, 0.500]], "density_g_cm3": 7.5, "final_energy_ev_per_cell": -20.6, "dos_ef_per_ev_atom": 0.657, "polymorph_energy_kj_per_mol_atoms": 0.0, "total_magnetization_mub_per_cell": 0.0, "vol_a3_per_atom": 17.9}

No. 3
{"formula": "NdEr3Ag4", "functional": "PBE", "state": "optimized geometry", "lattice_angstrom": [[10.294, 0.000, 0.000], [0.000, 7.307, 0.000], [0.000, 0.000, 5.151]], "species": ["Nd", "Nd", "Er", "Er", "Er", "Er", "Er", "Er", "Ag", "Ag", "Ag", "Ag", "Ag", "Ag", "Ag", "Ag"], "fractional_positions": [[0.000, 0.000, 0.000], [0.500, 0.000, 0.000], [0.000, 0.500, 0.000], [0.250, 0.000, 0.499], [0.250, 0.500, 0.499], [0.500, 0.500, 0.000], [0.750, 0.000, 0.501], [0.750, 0.500, 0.501], [0.000, 0.262, 0.500], [0.000, 0.738, 0.500], [0.250, 0.262, 0.999], [0.250, 0.738, 0.999], [0.500, 0.262, 0.500], [0.500, 0.738, 0.500], [0.750, 0.262, 0.001], [0.750, 0.738, 0.001]], "density_g_cm3": 9.2, "final_energy_ev_per_cell": -64.6, "ef_mev_per_atom": -308, "dos_ef_per_ev_atom": 0.637, "total_magnetization_mub_per_cell": 0.0, "vol_a3_per_atom": 24.2}

No. 4
{"formula": "Cs2W2Au", "functional": "PBE", "state": "optimized geometry", "lattice_angstrom": [[11.131, 0.000, 0.000], [0.000, 11.131, 0.000], [0.000, 0.000, 3.182]], "species": ["Cs", "Cs", "Cs", "Cs", "W", "W", "W", "W", "Au", "Au"], "fractional_positions": [[0.213, 0.287, 0.000], [0.287, 0.787, 0.000], [0.713, 0.213, 0.000], [0.787, 0.713, 0.000], [0.068, 0.568, 0.500], [0.432, 0.068, 0.500], [0.568, 0.932, 0.500], [0.932, 0.432, 0.500], [0.000, 0.000, 0.000], [0.500, 0.500, 0.000]], "density_g_cm3": 7.0, "final_energy_ev_per_cell": -45.0, "ef_mev_per_atom": 1677, "dos_ef_per_ev_atom": 1.056, "polymorph_energy_kj_per_mol_atoms": 72.7, "total_magnetization_mub_per_cell": 0.0, "vol_a3_per_atom": 39.4}

No. 5
{"formula": "Cu2Ag2Te", "functional": "PBE", "state": "optimized geometry", "lattice_angstrom": [[6.731, 0.000, 0.000], [0.000, 6.731, 0.000], [0.000, 0.000, 3.988]], "species": ["Cu", "Cu", "Cu", "Cu", "Ag", "Ag", "Ag", "Ag", "Te", "Te"], "fractional_positions": [[0.131, 0.369, 0.000], [0.369, 0.869, 0.000], [0.631, 0.131, 0.000], [0.869, 0.631, 0.000], [0.153, 0.653, 0.500], [0.347, 0.153, 0.500], [0.653, 0.847, 0.500], [0.847, 0.347, 0.500], [0.000, 0.000, 0.000], [0.500, 0.500, 0.000]], "density_g_cm3": 8.6, "final_energy_ev_per_cell": -32.8, "raw_formation_energy_mev_per_atom": 129, "dos_ef_per_ev_atom": 0.118, "polymorph_energy_kj_per_mol_atoms": 0.0, "total_magnetization_mub_per_cell": 0.0, "vol_a3_per_atom": 18.1}

No. 6
{"formula": "VP2Ru", "functional": "PBE", "state": "optimized geometry", "lattice_angstrom": [[1.834, 1.059, 4.839], [-1.834, 1.059, 4.839], [0.000, -2.118, 4.839]], "species": ["V", "P", "P", "Ru"], "fractional_positions": [[0.000, 0.000, 0.000], [0.246, 0.246, 0.246], [0.754, 0.754, 0.754], [0.500, 0.500, 0.500]], "density_g_cm3": 6.3, "final_energy_ev_per_cell": -30.2, "ef_mev_per_atom": -243, "dos_ef_per_ev_atom": 0.716, "polymorph_energy_kj_per_mol_atoms": 18.0, "total_magnetization_mub_per_cell": 0.9, "vol_a3_per_atom": 14.1}

No. 7
{"formula": "La2CuRu", "functional": "PBE", "state": "optimized geometry", "lattice_angstrom": [[3.636, -2.098, 0.000], [3.636, 2.098, 0.000], [-2.411, 0.000, 6.978]], "species": ["La", "La", "Cu", "Ru"], "fractional_positions": [[0.240, 0.240, 0.221], [0.760, 0.760, 0.779], [0.000, 0.000, 0.500], [0.500, 0.500, 0.000]], "density_g_cm3": 6.9, "final_energy_ev_per_cell": -23.5, "ef_mev_per_atom": -80, "dos_ef_per_ev_atom": 0.725, "total_magnetization_mub_per_cell": 0.0, "vol_a3_per_atom": 26.6}

No. 8
{"formula": "SrGeRhN", "functional": "PBE", "state": "optimized geometry", "lattice_angstrom": [[4.068, 0.000, 0.000], [0.000, 4.068, 0.000], [0.000, 0.000, 8.834]], "species": ["Sr", "Sr", "Ge", "Ge", "Rh", "Rh", "N", "N"], "fractional_positions": [[0.250, 0.250, 0.144], [0.750, 0.750, 0.856], [0.250, 0.250, 0.654], [0.750, 0.750, 0.346], [0.250, 0.750, 0.500], [0.750, 0.250, 0.500], [0.250, 0.250, 0.860], [0.750, 0.750, 0.140]], "density_g_cm3": 6.3, "final_energy_ev_per_cell": -49.8, "raw_formation_energy_mev_per_atom": -728, "dos_ef_per_ev_atom": 0.097, "total_magnetization_mub_per_cell": 0.0, "vol_a3_per_atom": 18.3}

No. 9
{"formula": "CaPrRhAu", "functional": "PBE", "state": "optimized geometry", "lattice_angstrom": [[4.314, 0.000, 0.000], [0.000, 2.001, 5.683], [0.000, -2.001, 5.683]], "species": ["Ca", "Pr", "Rh", "Au"], "fractional_positions": [[0.000, 0.000, 0.000], [0.500, 0.718, 0.718], [0.000, 0.271, 0.271], [0.500, 0.438, 0.438]], "density_g_cm3": 8.1, "final_energy_ev_per_cell": -20.2, "ef_mev_per_atom": -690, "dos_ef_per_ev_atom": 0.645, "polymorph_energy_kj_per_mol_atoms": 0.0, "total_magnetization_mub_per_cell": 0.0, "vol_a3_per_atom": 24.5}

No. 10
{"formula": "Mn5Ir4", "functional": "PBE", "state": "optimized geometry", "lattice_angstrom": [[-3.985, 3.985, 1.889], [3.985, -3.985, 1.889], [3.985, 3.985, -1.889]], "species": ["Mn", "Mn", "Mn", "Mn", "Mn", "Ir", "Ir", "Ir", "Ir"], "fractional_positions": [[0.000, 0.000, 0.000], [0.336, 0.336, 0.672], [0.336, 0.664, 0.000], [0.664, 0.336, 0.000], [0.664, 0.664, 0.328], [0.000, 0.326, 0.326], [0.000, 0.674, 0.674], [0.326, 0.000, 0.326], [0.674, 0.000, 0.674]], "density_g_cm3": 14.4, "final_energy_ev_per_cell": -82.4, "ef_mev_per_atom": -126, "dos_ef_per_ev_atom": 0.942, "polymorph_energy_kj_per_mol_atoms": 0.0, "total_magnetization_mub_per_cell": 7.6, "vol_a3_per_atom": 13.3}

No. 11
{"formula": "In6HgPb2", "functional": "PBE", "state": "optimized geometry", "lattice_angstrom": [[9.746, 0.000, 0.000], [0.000, 9.746, 0.000], [0.000, 0.000, 5.328]], "species": ["In", "In", "In", "In", "In", "In", "In", "In", "In", "In", "In", "In", "Hg", "Hg", "Pb", "Pb", "Pb", "Pb"], "fractional_positions": [[0.010, 0.331, 0.000], [0.161, 0.839, 0.500], [0.169, 0.510, 0.500], [0.331, 0.010, 0.000], [0.339, 0.339, 0.000], [0.490, 0.831, 0.500], [0.510, 0.169, 0.500], [0.661, 0.661, 0.000], [0.669, 0.990, 0.000], [0.831, 0.490, 0.500], [0.839, 0.161, 0.500], [0.990, 0.669, 0.000], [0.000, 0.000, 0.000], [0.500, 0.500, 0.500], [0.174, 0.174, 0.500], [0.326, 0.674, 0.000], [0.674, 0.326, 0.000], [0.826, 0.826, 0.500]], "density_g_cm3": 8.6, "final_energy_ev_per_cell": -48.0, "ef_mev_per_atom": 16, "dos_ef_per_ev_atom": 0.415, "polymorph_energy_kj_per_mol_atoms": 0.0, "total_magnetization_mub_per_cell": 0.0, "vol_a3_per_atom": 28.1}

No. 12
{"formula": "LaMg2InPd", "functional": "PBE", "state": "optimized geometry", "lattice_angstrom": [[4.990, 0.000, 0.000], [0.000, 4.990, 0.000], [0.000, 0.000, 5.163]], "species": ["La", "Mg", "Mg", "In", "Pd"], "fractional_positions": [[0.000, 0.000, 0.000], [0.000, 0.500, 0.500], [0.500, 0.000, 0.500], [0.500, 0.500, 0.000], [0.500, 0.500, 0.500]], "density_g_cm3": 5.3, "final_energy_ev_per_cell": -17.9, "ef_mev_per_atom": -378, "dos_ef_per_ev_atom": 0.440, "total_magnetization_mub_per_cell": 0.0, "vol_a3_per_atom": 25.7}